# Sc2PaTi | Alexandria | PBE | relaxed
data_Sc2PaTi
_symmetry_space_group_name_H-M 'R 3 m'
_symmetry_Int_Tables_number 160
_symmetry_space_group_name_Hall 'R 3 -2"'
_cell_length_a 3.1322
_cell_length_b 3.1322
_cell_length_c 31.4738
_cell_angle_alpha 90.00
_cell_angle_beta 90.00
_cell_angle_gamma 120.00
loop_
_atom_site_label
_atom_site_fract_x
_atom_site_fract_y
_atom_site_fract_z
Sc1 0.0000 0.0000 0.0000
Sc2 0.0000 0.0000 0.1780
Pa1 0.0000 0.0000 0.7553
Ti1 0.0000 0.0000 0.5893
# Excess energy over the best structure of this formula in the dataset (eV/atom): 0.0000
# Formation energy (meV per atom): 106
# E_tot (hartree per atom): -0.27223